# 1
! Tm2Tl3InTe6 | Alexandria via LeMat-Bulk | PBE | relaxed; values from VASP
! **Calculated volume**: 412 Å³/cell
! **Formation energy from raw total energies**: -0.763 eV per atom
&SYSTEM
  ibrav = 0, nat = 12, ntyp = 4
/
ATOMIC_SPECIES
Te 127.60 Te.upf
Tl 204.38 Tl.upf
Tm 168.93 Tm.upf
In 114.82 In.upf
CELL_PARAMETERS angstrom
-0.306 7.071 -2.931
-6.161 -2.991 3.431
4.627 1.690 6.932
ATOMIC_POSITIONS crystal
Te 0.931 0.600 0.791
Tl 0.829 0.171 0.500
Te 0.069 0.400 0.209
Tm 0.666 0.334 0.000
Tm 0.334 0.666 0.000
Te 0.739 0.739 0.213
Tl 0.171 0.829 0.500
In 0.000 0.000 0.000
Te 0.600 0.931 0.791
Te 0.400 0.069 0.209
Te 0.261 0.261 0.787
Tl 0.500 0.500 0.500

---

# 2
! TaFeSiRu | Alexandria via LeMat-Bulk | PBE | relaxed; values from VASP
! **Calculated volume**: 54 Å³/cell
! **Formation energy from raw total energies**: -0.418 eV per atom
&SYSTEM
  ibrav = 0, nat = 4, ntyp = 4
/
ATOMIC_SPECIES
Fe 55.84 Fe.upf
Si 28.09 Si.upf
Ru 101.07 Ru.upf
Ta 180.95 Ta.upf
CELL_PARAMETERS angstrom
-4.187 -0.279 0.709
-1.630 -3.514 1.762
-1.496 0.114 3.982
ATOMIC_POSITIONS crystal
Fe 0.000 0.000 0.000
Si 0.750 0.750 0.750
Ru 0.500 0.500 0.500
Ta 0.250 0.250 0.250